1.
A plane-wave DFT calculation with PBE was carried out for a relaxed TbPm2TmS5 crystal.

Structure (CIF):
```
data_TbPm2TmS5
_cell_length_a 4.8200
_cell_length_b 4.8200
_cell_length_c 10.2413
_cell_angle_alpha 90.00
_cell_angle_beta 90.00
_cell_angle_gamma 90.00
_symmetry_space_group_name_H-M 'P 4/m m m'
_symmetry_Int_Tables_number 123
_symmetry_space_group_name_Hall '-P 4 2'
loop_
_atom_site_label
_atom_site_fract_x
_atom_site_fract_y
_atom_site_fract_z
Tb1 0.0000 0.0000 0.0000
Pm1 0.5000 0.5000 0.2994
Tm1 0.0000 0.0000 0.5000
S1 0.0000 0.0000 0.2470
S2 0.0000 0.5000 0.5000
S3 0.5000 0.5000 0.0000
```

Values from the calculation:
ρ = 5.4 g cm⁻³
formation energy without anion corrections = -1465 meV/atom

***

2.
A plane-wave DFT calculation with PBE was carried out for a relaxed PmCu2IrO8 crystal.

Structure (CIF):
```
data_PmCu2IrO8
_cell_length_a 6.8582
_cell_length_b 6.8582
_cell_length_c 6.4758
_cell_angle_alpha 90.00
_cell_angle_beta 90.00
_cell_angle_gamma 90.00
_symmetry_space_group_name_H-M 'I -4 m 2'
_symmetry_Int_Tables_number 119
_symmetry_space_group_name_Hall 'I -4 -2'
loop_
_atom_site_label
_atom_site_fract_x
_atom_site_fract_y
_atom_site_fract_z
Pm1 0.0000 0.0000 0.0000
Cu1 0.0000 0.0000 0.5000
Cu2 0.0000 0.5000 0.2500
Ir1 0.0000 0.5000 0.7500
O1 0.0000 0.2062 0.6981
O2 0.0000 0.3426 0.0148
```

Values from the calculation:
ρ = 6.5 g cm⁻³
formation energy without anion corrections = -766 meV/atom

***

3.
A plane-wave DFT calculation with PBE was carried out for a relaxed BiSbTe2N crystal.

Structure (CIF):
```
data_BiSbTe2N
_cell_length_a 5.8784
_cell_length_b 5.8784
_cell_length_c 4.0046
_cell_angle_alpha 90.00
_cell_angle_beta 90.00
_cell_angle_gamma 90.00
_symmetry_space_group_name_H-M 'P 4/m m m'
_symmetry_Int_Tables_number 123
_symmetry_space_group_name_Hall '-P 4 2'
loop_
_atom_site_label
_atom_site_fract_x
_atom_site_fract_y
_atom_site_fract_z
Bi1 0.0000 0.0000 0.0000
Sb1 0.5000 0.5000 0.5000
Te1 0.0000 0.5000 0.5000
N1 0.5000 0.5000 0.0000
```

Values from the calculation:
energy above the most stable polymorph in this dataset = 2.552 kcal/mol of atoms
ρ = 7.2 g cm⁻³
formation energy without anion corrections = 681 meV/atom

***

4.
A plane-wave DFT calculation with PBE was carried out for a relaxed ZrTaNbCr2 crystal.

Structure (CIF):
```
data_ZrTaNbCr2
_cell_length_a 4.5878
_cell_length_b 4.5878
_cell_length_c 4.9323
_cell_angle_alpha 90.00
_cell_angle_beta 90.00
_cell_angle_gamma 90.00
_symmetry_space_group_name_H-M 'P 4/m m m'
_symmetry_Int_Tables_number 123
_symmetry_space_group_name_Hall '-P 4 2'
loop_
_atom_site_label
_atom_site_fract_x
_atom_site_fract_y
_atom_site_fract_z
Zr1 0.0000 0.0000 0.0000
Ta1 0.5000 0.5000 0.0000
Nb1 0.5000 0.5000 0.5000
Cr1 0.0000 0.5000 0.5000
```

Values from the calculation:
ρ = 7.5 g cm⁻³
energy relative to the elements = 1.279 eV/atom

***

5.
A plane-wave DFT calculation with PBE was carried out for a relaxed Pr4Zn2Ge5 crystal.

Structure (CIF):
```
data_Pr4Zn2Ge5
_cell_length_a 7.2344
_cell_length_b 4.3371
_cell_length_c 8.3319
_cell_angle_alpha 90.00
_cell_angle_beta 91.99
_cell_angle_gamma 90.00
_symmetry_space_group_name_H-M 'P 1 2/m 1'
_symmetry_Int_Tables_number 10
loop_
_symmetry_equiv_pos_as_xyz
'x,y,z'
'-x,-y,-z'
'-x,y,-z'
'x,-y,z'
loop_
_atom_site_label
_atom_site_fract_x
_atom_site_fract_y
_atom_site_fract_z
Pr1 0.2314 0.0000 0.3593
Pr2 0.2655 0.0000 0.8686
Zn1 0.4164 0.5000 0.6206
Ge1 0.0000 0.5000 0.0000
Ge2 0.0740 0.5000 0.6433
Ge3 0.3927 0.5000 0.1212
```

Values from the calculation:
ρ = 6.7 g cm⁻³
energy relative to the elements = -0.660 eV/atom

***

6.
A plane-wave DFT calculation with PBE was carried out for a relaxed Ac2ZnGe3 crystal.

Structure (CIF):
```
data_Ac2ZnGe3
_cell_length_a 4.4763
_cell_length_b 4.5577
_cell_length_c 7.5466
_cell_angle_alpha 90.00
_cell_angle_beta 90.00
_cell_angle_gamma 90.00
_symmetry_space_group_name_H-M 'P m m 2'
_symmetry_Int_Tables_number 25
loop_
_symmetry_equiv_pos_as_xyz
'x,y,z'
'-x,-y,z'
'-x,y,z'
'x,-y,z'
loop_
_atom_site_label
_atom_site_fract_x
_atom_site_fract_y
_atom_site_fract_z
Ac1 0.0000 0.0000 0.0000
Ac2 0.5000 0.0000 0.4883
Zn1 0.0000 0.5000 0.6655
Ge1 0.0000 0.5000 0.3326
Ge2 0.5000 0.5000 0.1600
Ge3 0.5000 0.5000 0.8196
```

Values from the calculation:
ρ = 8.0 g cm⁻³
energy relative to the elements = -0.628 eV/atom

***

7.
A plane-wave DFT calculation with PBE was carried out for a relaxed Pr4Sm2Y3 crystal.

Structure (CIF):
```
data_Pr4Sm2Y3
_cell_length_a 16.5696
_cell_length_b 11.9112
_cell_length_c 6.2815
_cell_angle_alpha 90.00
_cell_angle_beta 96.38
_cell_angle_gamma 90.00
_symmetry_space_group_name_H-M 'C 1 2/c 1'
_symmetry_Int_Tables_number 15
loop_
_symmetry_equiv_pos_as_xyz
'x,y,z'
'-x,-y,-z'
'-x,y,-z+1/2'
'x,-y,z+1/2'
'x+1/2,y+1/2,z'
'-x+1/2,-y+1/2,-z'
'-x+1/2,y+1/2,-z+1/2'
'x+1/2,-y+1/2,z+1/2'
loop_
_atom_site_label
_atom_site_fract_x
_atom_site_fract_y
_atom_site_fract_z
Pr1 0.0485 0.1405 0.0149
Pr2 0.2143 0.3593 0.8484
Sm1 0.1173 0.3620 0.3180
Y1 0.0000 0.3986 0.7500
Y2 0.1675 0.1026 0.5799
```

Values from the calculation:
energy above the most stable polymorph in this dataset = 0.842 kcal/mol of atoms
ρ = 6.1 g cm⁻³
energy relative to the elements = 0.081 eV/atom

***

8.
A plane-wave DFT calculation with PBE was carried out for a relaxed FePCSe crystal.

Structure (CIF):
```
data_FePCSe
_cell_length_a 3.3888
_cell_length_b 2.8546
_cell_length_c 14.7379
_cell_angle_alpha 90.00
_cell_angle_beta 90.00
_cell_angle_gamma 90.00
_symmetry_space_group_name_H-M 'A m m 2'
_symmetry_Int_Tables_number 38
loop_
_symmetry_equiv_pos_as_xyz
'x,y,z'
'-x,-y,z'
'-x,y,z'
'x,-y,z'
'x,y+1/2,z+1/2'
'-x,-y+1/2,z+1/2'
'-x,y+1/2,z+1/2'
'x,-y+1/2,z+1/2'
loop_
_atom_site_label
_atom_site_fract_x
_atom_site_fract_y
_atom_site_fract_z
Fe1 0.0000 0.0000 0.0000
P1 0.0000 0.0000 0.8409
C1 0.0000 0.0000 0.4171
Se1 0.5000 0.0000 0.1048
```

Values from the calculation:
energy above the most stable polymorph in this dataset = 4.458 kcal/mol of atoms
ρ = 4.1 g cm⁻³
formation energy without anion corrections = 474 meV/atom

***

9.
A plane-wave DFT calculation with PBE was carried out for a relaxed MgIn2Pb2 crystal.

Structure (CIF):
```
data_MgIn2Pb2
_cell_length_a 4.2442
_cell_length_b 4.2442
_cell_length_c 16.6660
_cell_angle_alpha 90.00
_cell_angle_beta 90.00
_cell_angle_gamma 90.00
_symmetry_space_group_name_H-M 'I 4/m m m'
_symmetry_Int_Tables_number 139
_symmetry_space_group_name_Hall '-I 4 2'
loop_
_atom_site_label
_atom_site_fract_x
_atom_site_fract_y
_atom_site_fract_z
Mg1 0.0000 0.0000 0.0000
In1 0.0000 0.5000 0.2500
Pb1 0.0000 0.0000 0.4016
```

Values from the calculation:
energy above the most stable polymorph in this dataset = 1.454 kcal/mol of atoms
ρ = 7.4 g cm⁻³
energy relative to the elements = 0.129 eV/atom

***

10.
A plane-wave DFT calculation with PBE was carried out for a relaxed Sb2MoPt crystal.

Structure (CIF):
```
data_Sb2MoPt
_cell_length_a 6.4721
_cell_length_b 9.0312
_cell_length_c 3.1154
_cell_angle_alpha 90.00
_cell_angle_beta 118.67
_cell_angle_gamma 90.00
_symmetry_space_group_name_H-M 'C 1 2/m 1'
_symmetry_Int_Tables_number 12
loop_
_symmetry_equiv_pos_as_xyz
'x,y,z'
'-x,-y,-z'
'-x,y,-z'
'x,-y,z'
'x+1/2,y+1/2,z'
'-x+1/2,-y+1/2,-z'
'-x+1/2,y+1/2,-z'
'x+1/2,-y+1/2,z'
loop_
_atom_site_label
_atom_site_fract_x
_atom_site_fract_y
_atom_site_fract_z
Sb1 0.2500 0.2500 0.0000
Mo1 0.0000 0.0000 0.5000
Pt1 0.0000 0.5000 0.5000
```

Values from the calculation:
energy above the most stable polymorph in this dataset = 10.005 kcal/mol of atoms
ρ = 11.1 g cm⁻³
formation energy without anion corrections = 376 meV/atom

***

11.
A plane-wave DFT calculation with PBE was carried out for a relaxed Al2IrSe crystal.

Structure (CIF):
```
data_Al2IrSe
_cell_length_a 5.8463
_cell_length_b 5.8463
_cell_length_c 10.7651
_cell_angle_alpha 90.00
_cell_angle_beta 90.00
_cell_angle_gamma 90.00
_symmetry_space_group_name_H-M 'I -4 2 d'
_symmetry_Int_Tables_number 122
_symmetry_space_group_name_Hall 'I -4 2bw'
loop_
_atom_site_label
_atom_site_fract_x
_atom_site_fract_y
_atom_site_fract_z
Al1 0.2281 0.2500 0.1250
Ir1 0.0000 0.0000 0.0000
Se1 0.0000 0.0000 0.5000
```

Values from the calculation:
ρ = 5.9 g cm⁻³
formation energy without anion corrections = -176 meV/atom

***

12.
A plane-wave DFT calculation with PBE was carried out for a relaxed CaNiC2 crystal.

Structure (CIF):
```
data_CaNiC2
_cell_length_a 3.9896
_cell_length_b 3.9896
_cell_length_c 12.6444
_cell_angle_alpha 90.00
_cell_angle_beta 90.00
_cell_angle_gamma 90.00
_symmetry_space_group_name_H-M 'I 41/a m d'
_symmetry_Int_Tables_number 141
loop_
_symmetry_equiv_pos_as_xyz
'x,y,z'
'-x,-y,-z'
'-y+1/4,x+3/4,z+1/4'
'y+1/4,-x+3/4,-z+1/4'
'-x+1/2,-y,z+1/2'
'x+1/2,y,-z+1/2'
'y+1/4,-x+1/4,z+3/4'
'-y+1/4,x+1/4,-z+3/4'
'x,-y,-z'
'-x,y,z'
'-y+1/4,-x+1/4,-z+3/4'
'y+1/4,x+1/4,z+3/4'
'-x+1/2,y,-z+1/2'
'x+1/2,-y,z+1/2'
'y+1/4,x+3/4,-z+1/4'
'-y+1/4,-x+3/4,z+1/4'
'x+1/2,y+1/2,z+1/2'
'-x+1/2,-y+1/2,-z+1/2'
'-y+3/4,x+1/4,z+3/4'
'y+3/4,-x+1/4,-z+3/4'
'-x,-y+1/2,z'
'x,y+1/2,-z'
'y+3/4,-x+3/4,z+1/4'
'-y+3/4,x+3/4,-z+1/4'
'x+1/2,-y+1/2,-z+1/2'
'-x+1/2,y+1/2,z+1/2'
'-y+3/4,-x+3/4,-z+1/4'
'y+3/4,x+3/4,z+1/4'
'-x,y+1/2,-z'
'x,-y+1/2,z'
'y+3/4,x+1/4,-z+3/4'
'-y+3/4,-x+1/4,z+3/4'
loop_
_atom_site_label
_atom_site_fract_x
_atom_site_fract_y
_atom_site_fract_z
Ca1 0.0000 0.2500 0.3750
Ni1 0.0000 0.2500 0.8750
C1 0.0000 0.0000 0.0000
```

Values from the calculation:
ρ = 4.1 g cm⁻³
energy relative to the elements = 0.617 eV/atom

***

13.
A plane-wave DFT calculation with PBE was carried out for a relaxed Sc2CdSbAs crystal.

Structure (CIF):
```
data_Sc2CdSbAs
_cell_length_a 5.4048
_cell_length_b 5.4048
_cell_length_c 4.8181
_cell_angle_alpha 90.00
_cell_angle_beta 90.00
_cell_angle_gamma 90.00
_symmetry_space_group_name_H-M 'P 4/m m m'
_symmetry_Int_Tables_number 123
_symmetry_space_group_name_Hall '-P 4 2'
loop_
_atom_site_label
_atom_site_fract_x
_atom_site_fract_y
_atom_site_fract_z
Sc1 0.0000 0.5000 0.0000
Cd1 0.0000 0.0000 0.0000
Sb1 0.5000 0.5000 0.5000
As1 0.0000 0.0000 0.5000
```

Values from the calculation:
ρ = 4.7 g cm⁻³
formation energy without anion corrections = 397 meV/atom

***

14.
A plane-wave DFT calculation with PBE was carried out for a relaxed AcB2Ir crystal.

Structure (CIF):
```
data_AcB2Ir
_cell_length_a 3.7561
_cell_length_b 3.7561
_cell_length_c 15.7346
_cell_angle_alpha 90.00
_cell_angle_beta 90.00
_cell_angle_gamma 120.00
_symmetry_space_group_name_H-M 'R -3 m'
_symmetry_Int_Tables_number 166
_symmetry_space_group_name_Hall '-R 3 2"'
loop_
_atom_site_label
_atom_site_fract_x
_atom_site_fract_y
_atom_site_fract_z
Ac1 0.0000 0.0000 0.0000
B1 0.0000 0.0000 0.1941
Ir1 0.0000 0.0000 0.5000
```

Values from the calculation:
energy above the most stable polymorph in this dataset = 3.422 kcal/mol of atoms
ρ = 11.4 g cm⁻³
energy relative to the elements = -0.189 eV/atom

***

15.
A plane-wave DFT calculation with PBE was carried out for a relaxed CeErZn crystal.

Structure (CIF):
```
data_CeErZn
_cell_length_a 5.1798
_cell_length_b 5.1798
_cell_length_c 2.9795
_cell_angle_alpha 90.00
_cell_angle_beta 90.00
_cell_angle_gamma 120.00
_symmetry_space_group_name_H-M 'P 3 m 1'
_symmetry_Int_Tables_number 156
loop_
_symmetry_equiv_pos_as_xyz
'x,y,z'
'-y,x-y,z'
'-x+y,-x,z'
'-y,-x,z'
'-x+y,y,z'
'x,x-y,z'
loop_
_atom_site_label
_atom_site_fract_x
_atom_site_fract_y
_atom_site_fract_z
Ce1 0.0000 0.0000 0.0000
Er1 0.6667 0.3333 0.0030
Zn1 0.3333 0.6667 0.5011
```

Values from the calculation:
energy above the most stable polymorph in this dataset = 6.580 kcal/mol of atoms
ρ = 8.9 g cm⁻³
energy relative to the elements = 0.122 eV/atom

***

16.
A plane-wave DFT calculation with PBE was carried out for a relaxed Cs2H2I crystal.

Structure (CIF):
```
data_Cs2H2I
_cell_length_a 9.0090
_cell_length_b 9.0090
_cell_length_c 4.5731
_cell_angle_alpha 90.00
_cell_angle_beta 90.00
_cell_angle_gamma 90.00
_symmetry_space_group_name_H-M 'P 4/m b m'
_symmetry_Int_Tables_number 127
_symmetry_space_group_name_Hall '-P 4 2ab'
loop_
_atom_site_label
_atom_site_fract_x
_atom_site_fract_y
_atom_site_fract_z
Cs1 0.1848 0.3152 0.0000
H1 0.0316 0.5316 0.5000
I1 0.0000 0.0000 0.5000
```

Values from the calculation:
energy above the most stable polymorph in this dataset = 0.000 kcal/mol of atoms
ρ = 3.5 g cm⁻³

***

17.
A plane-wave DFT calculation with PBE was carried out for a relaxed CoReSbI2 crystal.

Structure (CIF):
```
data_CoReSbI2
_cell_length_a 5.5648
_cell_length_b 5.5648
_cell_length_c 5.0939
_cell_angle_alpha 90.00
_cell_angle_beta 90.00
_cell_angle_gamma 90.00
_symmetry_space_group_name_H-M 'P 4/m m m'
_symmetry_Int_Tables_number 123
_symmetry_space_group_name_Hall '-P 4 2'
loop_
_atom_site_label
_atom_site_fract_x
_atom_site_fract_y
_atom_site_fract_z
Co1 0.0000 0.0000 0.0000
Re1 0.5000 0.5000 0.5000
Sb1 0.5000 0.5000 0.0000
I1 0.0000 0.5000 0.5000
```

Values from the calculation:
energy above the most stable polymorph in this dataset = 0.000 kcal/mol of atoms
ρ = 6.5 g cm⁻³
formation energy without anion corrections = 1383 meV/atom

***

18.
A plane-wave DFT calculation with PBE was carried out for a relaxed K2TeRu crystal.

Structure (CIF):
```
data_K2TeRu
_cell_length_a 4.3769
_cell_length_b 4.3769
_cell_length_c 5.3963
_cell_angle_alpha 90.00
_cell_angle_beta 90.00
_cell_angle_gamma 90.00
_symmetry_space_group_name_H-M 'P 4/m m m'
_symmetry_Int_Tables_number 123
_symmetry_space_group_name_Hall '-P 4 2'
loop_
_atom_site_label
_atom_site_fract_x
_atom_site_fract_y
_atom_site_fract_z
K1 0.0000 0.5000 0.0000
Te1 0.0000 0.0000 0.5000
Ru1 0.5000 0.5000 0.5000
```

Values from the calculation:
ρ = 4.9 g cm⁻³
formation energy without anion corrections = 423 meV/atom

***

19.
A plane-wave DFT calculation with PBE was carried out for a relaxed LaGdY2 crystal.

Structure (CIF):
```
data_LaGdY2
_cell_length_a 8.1663
_cell_length_b 8.1663
_cell_length_c 8.1663
_cell_angle_alpha 90.00
_cell_angle_beta 90.00
_cell_angle_gamma 90.00
_symmetry_space_group_name_H-M 'F m -3 m'
_symmetry_Int_Tables_number 225
_symmetry_space_group_name_Hall '-F 4 2 3'
loop_
_atom_site_label
_atom_site_fract_x
_atom_site_fract_y
_atom_site_fract_z
La1 0.0000 0.0000 0.0000
Gd1 0.0000 0.0000 0.5000
Y1 0.2500 0.2500 0.2500
```

Values from the calculation:
energy above the most stable polymorph in this dataset = 1.550 kcal/mol of atoms
ρ = 5.8 g cm⁻³
energy relative to the elements = 0.092 eV/atom

***

20.
A plane-wave DFT calculation with PBE was carried out for a relaxed LaAlRh3 crystal.

Structure (CIF):
```
data_LaAlRh3
_cell_length_a 4.5783
_cell_length_b 4.5783
_cell_length_c 4.5783
_cell_angle_alpha 90.00
_cell_angle_beta 90.00
_cell_angle_gamma 90.00
_symmetry_space_group_name_H-M 'P m -3 m'
_symmetry_Int_Tables_number 221
_symmetry_space_group_name_Hall '-P 4 2 3'
loop_
_atom_site_label
_atom_site_fract_x
_atom_site_fract_y
_atom_site_fract_z
La1 0.0000 0.0000 0.0000
Al1 0.5000 0.5000 0.5000
Rh1 0.0000 0.5000 0.5000
```

Values from the calculation:
energy above the most stable polymorph in this dataset = 0.000 kcal/mol of atoms
ρ = 8.2 g cm⁻³
energy relative to the elements = -0.429 eV/atom

***

no.,VASP energy (eV/atom)
1,-5.82
2,-5.89
3,-3.84
4,-8.66
5,-4.73
6,-4.52
7,-5.25
8,-6.17
9,-2.77
10,-5.90
11,-5.13
12,-5.94
13,-4.07
14,-6.77
15,-3.80
16,-2.50
17,-3.97
18,-3.23
19,-7.89
20,-6.57